# PuZrOsPd (GGA-PBE, optimized geometry)
# Total magnetic moment in μB per formula unit: 5.5
# Total energy in Ry/atom: -0.7447
# Fermi-level density of states in states/eV/f.u.: 7.625
data_PuZrOsPd
_chemical_formula_sum 'Pu4 Zr4 Os4 Pd4'
_cell_length_a 6.763
_cell_length_b 6.763
_cell_length_c 6.763
_cell_angle_alpha 90.00
_cell_angle_beta 90.00
_cell_angle_gamma 90.00
_symmetry_space_group_name_H-M 'F -4 3 m'
_symmetry_Int_Tables_number 216
_symmetry_space_group_name_Hall 'F -4 2 3'
loop_
_atom_site_label
_atom_site_type_symbol
_atom_site_fract_x
_atom_site_fract_y
_atom_site_fract_z
_atom_site_occupancy
Pu1 Pu 0.000 0.000 0.000 1
Zr1 Zr 0.000 0.000 0.500 1
Os1 Os 0.250 0.250 0.250 1
Pd1 Pd 0.250 0.250 0.750 1